(1)
Density functional theory data (GGA-PBE) for a relaxed structure of La4SmCo.

Structure (POSCAR):
```
La4SmCo
1.0
-2.751 4.649 2.144
-3.969 -4.498 4.661
7.954 -1.419 5.404
La Sm Co
8 2 2
Direct
0.298 0.531 0.596 La
0.298 0.030 0.596 La
0.500 0.530 0.000 La
0.109 0.781 0.218 La
0.500 0.030 0.000 La
0.702 0.530 0.404 La
0.891 0.281 0.782 La
0.702 0.031 0.404 La
0.883 0.780 0.766 Sm
0.117 0.280 0.234 Sm
0.404 0.281 0.808 Co
0.596 0.781 0.192 Co
```

Results
- formation enthalpy at 0 K (meV/atom) = 26
- space-group type = No. 63
- energy above the most stable polymorph in this dataset (meV per atom) = 42.5
- size of the total moment (μB/cell) = 0.000


(2)
Density functional theory data (GGA-PBE) for a relaxed structure of La7SmCo3.

Structure (POSCAR):
```
La7SmCo3
1.0
-5.128 2.846 2.800
-3.321 0.961 -7.059
-1.375 -6.543 4.132
La Sm Co
7 1 3
Direct
0.020 0.333 0.667 La
0.541 0.167 0.833 La
0.024 0.832 0.664 La
0.024 0.832 0.168 La
0.024 0.336 0.168 La
0.541 0.666 0.833 La
0.541 0.167 0.334 La
0.544 0.667 0.333 Sm
0.785 0.000 0.500 Co
0.785 0.500 0.000 Co
0.785 0.500 0.500 Co
```

Results
- formation enthalpy at 0 K (meV/atom) = -67
- space-group type = No. 156
- size of the total moment (μB/cell) = 0.000


(3)
Density functional theory data (GGA-PBE) for a relaxed structure of La2SmCo.

Structure (POSCAR):
```
La2SmCo
1.0
6.404 0.000 0.000
0.000 7.116 0.000
0.000 0.000 10.101
Sm La Co
4 8 4
Direct
0.347 0.452 0.750 Sm
0.153 0.952 0.750 Sm
0.847 0.048 0.250 Sm
0.653 0.548 0.250 Sm
0.325 0.164 0.072 La
0.325 0.164 0.428 La
0.175 0.664 0.072 La
0.675 0.836 0.572 La
0.825 0.336 0.928 La
0.175 0.664 0.428 La
0.825 0.336 0.572 La
0.675 0.836 0.928 La
0.926 0.613 0.750 Co
0.074 0.387 0.250 Co
0.574 0.113 0.750 Co
0.426 0.887 0.250 Co
```

Results
- formation enthalpy at 0 K (meV/atom) = -93
- space-group type = No. 62
- energy above the most stable polymorph in this dataset (meV per atom) = 0.0
- size of the total moment (μB/cell) = 0.000


Please write out number 1 again, unchanged.
Density functional theory data (GGA-PBE) for a relaxed structure of La4SmCo.

Structure (POSCAR):
```
La4SmCo
1.0
-2.751 4.649 2.144
-3.969 -4.498 4.661
7.954 -1.419 5.404
La Sm Co
8 2 2
Direct
0.298 0.531 0.596 La
0.298 0.030 0.596 La
0.500 0.530 0.000 La
0.109 0.781 0.218 La
0.500 0.030 0.000 La
0.702 0.530 0.404 La
0.891 0.281 0.782 La
0.702 0.031 0.404 La
0.883 0.780 0.766 Sm
0.117 0.280 0.234 Sm
0.404 0.281 0.808 Co
0.596 0.781 0.192 Co
```

Results
- formation enthalpy at 0 K (meV/atom) = 26
- space-group type = No. 63
- energy above the most stable polymorph in this dataset (meV per atom) = 42.5
- size of the total moment (μB/cell) = 0.000